# 1
Here is a geometry-optimized Th2CdMo structure from Alexandria. Energies are from PBE. Values from VASP.

E = -6.16 eV per atom
Energy relative to the elements = 0.4898 eV per atom
Spin magnetization = 0.000 μB/atom
Space-group type = R-3m
Energy above the most stable polymorph in this dataset = 418.8 meV per atom

Structure (Quantum ESPRESSO input):
```
&SYSTEM
  ibrav = 0, nat = 4, ntyp = 3
/
ATOMIC_SPECIES
Cd 112.41 Cd.upf
Mo 95.94 Mo.upf
Th 232.04 Th.upf
CELL_PARAMETERS angstrom
-0.636 -0.876 -3.257
-0.575 -3.285 -0.813
-11.386 0.104 0.386
ATOMIC_POSITIONS crystal
Cd 0.000 0.000 0.000
Mo 0.500 0.500 0.500
Th 0.899 0.899 0.302
Th 0.101 0.101 0.698
```

=====

# 2
Here is a geometry-optimized TiCd3Mo structure from Alexandria. Energies are from PBE. Values from VASP.

E = -2.91 eV per atom
Energy relative to the elements = 1.3835 eV per atom
Spin magnetization = 0.000 μB/atom
Space-group type = Pm-3m
Energy above the most stable polymorph in this dataset = 0.0 meV per atom

Structure (Quantum ESPRESSO input):
```
&SYSTEM
  ibrav = 0, nat = 5, ntyp = 3
/
ATOMIC_SPECIES
Cd 112.41 Cd.upf
Ti 47.87 Ti.upf
Mo 95.94 Mo.upf
CELL_PARAMETERS angstrom
-3.956 -0.874 3.160
2.663 -3.746 2.298
1.912 3.407 3.337
ATOMIC_POSITIONS crystal
Cd 0.000 0.500 0.000
Cd 0.000 0.000 0.500
Cd 0.500 0.000 0.000
Ti 0.500 0.500 0.500
Mo 0.000 0.000 0.000
```

=====

# 3
Here is a geometry-optimized Ti5CdMo4 structure from Alexandria. Energies are from PBE. Values from VASP.

E = -8.45 eV per atom
Energy relative to the elements = -0.0766 eV per atom
Spin magnetization = 0.000 μB/atom
Space-group type = P4/mmm

Structure (Quantum ESPRESSO input):
```
&SYSTEM
  ibrav = 0, nat = 10, ntyp = 3
/
ATOMIC_SPECIES
Mo 95.94 Mo.upf
Ti 47.87 Ti.upf
Cd 112.41 Cd.upf
CELL_PARAMETERS angstrom
3.214 0.000 0.000
0.000 3.214 0.000
0.000 0.000 16.034
ATOMIC_POSITIONS crystal
Mo 0.000 0.000 0.207
Mo 0.000 0.000 0.596
Mo 0.000 0.000 0.404
Mo 0.000 0.000 0.793
Ti 0.500 0.500 0.306
Ti 0.500 0.500 0.694
Ti 0.500 0.500 0.878
Ti 0.500 0.500 0.500
Ti 0.500 0.500 0.122
Cd 0.000 0.000 0.000
```

=====

# 4
Here is a geometry-optimized Ti2CdMo structure from Alexandria. Energies are from PBE. Values from VASP.

E = -6.25 eV per atom
Energy relative to the elements = 0.6290 eV per atom
Spin magnetization = 0.000 μB/atom
Space-group type = I-42d

Structure (Quantum ESPRESSO input):
```
&SYSTEM
  ibrav = 0, nat = 8, ntyp = 3
/
ATOMIC_SPECIES
Cd 112.41 Cd.upf
Ti 47.87 Ti.upf
Mo 95.94 Mo.upf
CELL_PARAMETERS angstrom
-1.424 -0.734 3.607
-1.710 -3.294 -1.345
6.323 -6.970 3.238
ATOMIC_POSITIONS crystal
Cd 0.000 0.000 0.000
Cd 0.750 0.250 0.500
Ti 0.607 0.125 0.250
Ti 0.375 0.393 0.750
Ti 0.143 0.625 0.250
Ti 0.875 0.857 0.750
Mo 0.250 0.750 0.500
Mo 0.500 0.500 0.000
```

=====

# 5
Here is a geometry-optimized Ti2CdMo2 structure from Alexandria. Energies are from PBE. Values from VASP.

E = -7.46 eV per atom
Energy relative to the elements = 0.2103 eV per atom
Spin magnetization = 0.000 μB/atom
Space-group type = P4/mbm

Structure (Quantum ESPRESSO input):
```
&SYSTEM
  ibrav = 0, nat = 10, ntyp = 3
/
ATOMIC_SPECIES
Ti 47.87 Ti.upf
Mo 95.94 Mo.upf
Cd 112.41 Cd.upf
CELL_PARAMETERS angstrom
-3.510 -3.617 5.575
6.623 -1.389 3.269
-0.229 2.723 1.622
ATOMIC_POSITIONS crystal
Ti 0.689 0.811 0.500
Ti 0.189 0.689 0.500
Ti 0.811 0.311 0.500
Ti 0.311 0.189 0.500
Mo 0.109 0.391 0.000
Mo 0.609 0.109 0.000
Mo 0.391 0.891 0.000
Mo 0.891 0.609 0.000
Cd 0.000 0.000 0.000
Cd 0.500 0.500 0.000
```

=====

# 6
Here is a geometry-optimized Ti2CdMo structure from Alexandria. Energies are from PBE. Values from VASP.

E = -7.01 eV per atom
Energy relative to the elements = -0.1216 eV per atom
Spin magnetization = 0.000 μB/atom
Space-group type = P4/mmm

Structure (Quantum ESPRESSO input):
```
&SYSTEM
  ibrav = 0, nat = 4, ntyp = 3
/
ATOMIC_SPECIES
Mo 95.94 Mo.upf
Ti 47.87 Ti.upf
Cd 112.41 Cd.upf
CELL_PARAMETERS angstrom
-1.541 0.368 2.840
-2.858 -0.409 -1.497
0.382 -6.528 1.052
ATOMIC_POSITIONS crystal
Mo 0.500 0.500 0.000
Ti 0.000 0.000 0.215
Ti 0.000 0.000 0.785
Cd 0.500 0.500 0.500
```

=====

# 7
Here is a geometry-optimized TiCdMo2 structure from Alexandria. Energies are from PBE. Values from VASP.

E = -6.94 eV per atom
Energy relative to the elements = 0.6734 eV per atom
Spin magnetization = 0.000 μB/atom
Space-group type = I-42d

Structure (Quantum ESPRESSO input):
```
&SYSTEM
  ibrav = 0, nat = 8, ntyp = 3
/
ATOMIC_SPECIES
Cd 112.41 Cd.upf
Mo 95.94 Mo.upf
Ti 47.87 Ti.upf
CELL_PARAMETERS angstrom
3.850 0.000 0.000
0.000 3.850 0.000
1.925 1.925 9.892
ATOMIC_POSITIONS crystal
Cd 0.750 0.250 0.500
Cd 0.000 0.000 0.000
Mo 0.597 0.125 0.250
Mo 0.153 0.625 0.250
Mo 0.875 0.847 0.750
Mo 0.375 0.403 0.750
Ti 0.500 0.500 0.000
Ti 0.250 0.750 0.500
```

=====

# 8
Here is a geometry-optimized TiCdMo3 structure from Alexandria. Energies are from PBE. Values from VASP.

E = -6.91 eV per atom
Energy relative to the elements = 1.3494 eV per atom
Spin magnetization = 0.000 μB/atom
Space-group type = Pm-3m
Energy above the most stable polymorph in this dataset = 0.0 meV per atom

Structure (Quantum ESPRESSO input):
```
&SYSTEM
  ibrav = 0, nat = 5, ntyp = 3
/
ATOMIC_SPECIES
Cd 112.41 Cd.upf
Mo 95.94 Mo.upf
Ti 47.87 Ti.upf
CELL_PARAMETERS angstrom
4.602 0.000 0.000
0.000 4.602 0.000
0.000 0.000 4.602
ATOMIC_POSITIONS crystal
Cd 0.500 0.500 0.500
Mo 0.000 0.000 0.500
Mo 0.000 0.500 0.000
Mo 0.500 0.000 0.000
Ti 0.000 0.000 0.000
```

=====

# 9
Here is a geometry-optimized Ti2CdMo structure from Alexandria. Energies are from PBE. Values from VASP.

E = -6.87 eV per atom
Energy relative to the elements = 0.0166 eV per atom
Spin magnetization = 0.000 μB/atom
Space-group type = P4/mmm

Structure (Quantum ESPRESSO input):
```
&SYSTEM
  ibrav = 0, nat = 4, ntyp = 3
/
ATOMIC_SPECIES
Ti 47.87 Ti.upf
Mo 95.94 Mo.upf
Cd 112.41 Cd.upf
CELL_PARAMETERS angstrom
3.430 0.000 0.000
0.000 4.453 0.000
0.000 0.000 4.453
ATOMIC_POSITIONS crystal
Ti 0.000 0.000 0.500
Ti 0.000 0.500 0.000
Mo 0.500 0.500 0.500
Cd 0.500 0.000 0.000
```

=====

# 10
Here is a geometry-optimized TlCdMo2 structure from Alexandria. Energies are from PBE. Values from VASP.

E = -5.83 eV per atom
Energy relative to the elements = 0.4099 eV per atom
Spin magnetization = 0.000 μB/atom
Space-group type = Cmm2
Energy above the most stable polymorph in this dataset = 0.0 meV per atom

Structure (Quantum ESPRESSO input):
```
&SYSTEM
  ibrav = 0, nat = 4, ntyp = 3
/
ATOMIC_SPECIES
Mo 95.94 Mo.upf
Tl 204.38 Tl.upf
Cd 112.41 Cd.upf
CELL_PARAMETERS angstrom
-0.912 -2.479 1.348
2.724 -0.234 -1.150
3.903 3.232 8.586
ATOMIC_POSITIONS crystal
Mo 0.000 0.000 0.024
Mo 0.500 0.500 0.217
Tl 0.000 0.000 0.481
Cd 0.500 0.500 0.778
```

=====

# 11
Here is a geometry-optimized TlCd2Mo structure from Alexandria. Energies are from PBE. Values from VASP.

E = -3.30 eV per atom
Energy relative to the elements = 0.4606 eV per atom
Spin magnetization = 0.000 μB/atom
Space-group type = Immm
Energy above the most stable polymorph in this dataset = 56.5 meV per atom

Structure (Quantum ESPRESSO input):
```
&SYSTEM
  ibrav = 0, nat = 4, ntyp = 3
/
ATOMIC_SPECIES
Cd 112.41 Cd.upf
Mo 95.94 Mo.upf
Tl 204.38 Tl.upf
CELL_PARAMETERS angstrom
6.296 0.017 -0.005
3.596 5.167 0.005
-4.362 -3.706 2.621
ATOMIC_POSITIONS crystal
Cd 0.469 0.469 0.000
Cd 0.031 0.031 0.000
Mo 0.250 0.750 0.500
Tl 0.750 0.250 0.500
```

=====

# 12
Here is a geometry-optimized Tl2CdMo structure from Alexandria. Energies are from PBE. Values from VASP.

E = -3.48 eV per atom
Energy relative to the elements = 0.6442 eV per atom
Spin magnetization = 0.160 μB/atom
Space-group type = Pmm2
Energy above the most stable polymorph in this dataset = 132.2 meV per atom

Structure (Quantum ESPRESSO input):
```
&SYSTEM
  ibrav = 0, nat = 4, ntyp = 3
/
ATOMIC_SPECIES
Tl 204.38 Tl.upf
Cd 112.41 Cd.upf
Mo 95.94 Mo.upf
CELL_PARAMETERS angstrom
-0.068 2.972 -1.192
-0.504 -1.645 -4.076
-6.182 0.143 0.707
ATOMIC_POSITIONS crystal
Tl 0.500 0.500 0.264
Tl 0.000 0.000 0.972
Cd 0.000 0.000 0.515
Mo 0.500 0.500 0.748
```

=====

# 13
Here is a geometry-optimized TlCdMo structure from Alexandria. Energies are from PBE. Values from VASP.

E = -3.96 eV per atom
Energy relative to the elements = 0.7436 eV per atom
Spin magnetization = 0.000 μB/atom
Space-group type = Imm2
Energy above the most stable polymorph in this dataset = 133.2 meV per atom

Structure (Quantum ESPRESSO input):
```
&SYSTEM
  ibrav = 0, nat = 3, ntyp = 3
/
ATOMIC_SPECIES
Tl 204.38 Tl.upf
Cd 112.41 Cd.upf
Mo 95.94 Mo.upf
CELL_PARAMETERS angstrom
-2.714 4.971 -0.838
-2.354 3.476 3.894
4.561 -2.849 -1.964
ATOMIC_POSITIONS crystal
Tl 0.326 0.326 0.000
Cd 0.012 0.012 0.000
Mo 0.662 0.662 0.000
```

=====

# 14
Here is a geometry-optimized TlCd2Mo structure from Alexandria. Energies are from PBE. Values from VASP.

E = -3.26 eV per atom
Energy relative to the elements = 0.4954 eV per atom
Spin magnetization = 0.278 μB/atom
Space-group type = P4/mmm
Energy above the most stable polymorph in this dataset = 91.2 meV per atom

Structure (Quantum ESPRESSO input):
```
&SYSTEM
  ibrav = 0, nat = 4, ntyp = 3
/
ATOMIC_SPECIES
Cd 112.41 Cd.upf
Tl 204.38 Tl.upf
Mo 95.94 Mo.upf
CELL_PARAMETERS angstrom
-1.070 -3.698 1.842
3.350 -1.890 -1.848
2.513 1.022 3.509
ATOMIC_POSITIONS crystal
Cd 0.500 0.500 0.000
Cd 0.000 0.000 0.000
Tl 0.000 0.500 0.500
Mo 0.500 0.000 0.500
```